Compound: Na3PbO
Source: Alexandria
Functional: PBE-GGA
Structure: optimized geometry

POSCAR file:
```
Na3PbO
1.0
-2.1608 4.5025 -2.6745
-0.3362 -3.2606 -5.2160
-6.2279 -2.0076 1.6516
Na Pb O
6 2 2
Direct
0.4742 0.3566 0.2010 Na
0.4119 0.8232 0.9573 Na
0.9120 0.5296 0.4573 Na
0.9743 0.9961 0.7006 Na
0.9119 0.5295 0.9443 Na
0.4119 0.8232 0.4442 Na
0.4030 0.3501 0.7010 Pb
0.9032 0.0028 0.2005 Pb
0.1769 0.6663 0.7008 O
0.6769 0.6865 0.2008 O
```

Properties
Energy relative to the elements, uncorrected in eV/atom: -0.631
Magnetization in μB per cell: 0.00
Offset from the most stable computed form in eV/atom: 0.000
Raw total energy in eV/atom: -3.156